The following is a PBE+U calculation of a geometry-optimized AlNi2O4 structure, from the Alexandria database.

Computed properties:
total energy = -5.75 eV/atom
V = 553 Å³/cell
D(E_F) = 0.3771 states/eV/atom
magnetization = 0.429 μB per atom

a b c (Å): 8.2065 8.2065 8.2065
angles (deg): 90.00 90.00 90.00
With the nearest neighbours (Å) after each atom.
Space group Fd-3m (No. 227, origin choice 2)
Unique sites:
Al (0.1250, 0.1250, 0.1250) (multiplicity 8)  4 O 1.81
Ni (0.0000, 0.0000, 0.5000) (multiplicity 16)  6 O 2.03
O (0.0021, 0.0021, 0.7479) (multiplicity 32)  1 Al 1.81